A relaxed structure of MgFeIr3. Source: Alexandria, functional PBE-GGA.

Results
E_form in eV per atom: 1.045
Energy above the most stable polymorph in this dataset in eV per atom: 0.0000
Size of the total moment in μB/cell: 0.00
Crystal system: cubic

Cell lengths 4.480, 4.480, 4.480 Å; angles 90.00, 90.00, 90.00 degrees
Space group Pm-3m (No. 221)
Inequivalent atoms, fractional coordinates:
Mg (0.000, 0.000, 0.000) x1
Fe (0.500, 0.500, 0.500) x1
Ir (0.000, 0.500, 0.500) x3

A relaxed structure of TlSb2Pt. Source: Alexandria, functional PBE-GGA.

Results
Energy above the most stable polymorph in this dataset in eV per atom: 0.0305
Formation energy without anion corrections in meV/atom: -252
Size of the total moment in μB/cell: 0.00
Crystal system: orthorhombic

Cell lengths 5.753, 8.907, 4.237 Å; angles 90.00, 90.00, 90.00 degrees
Space group Cmmm (No. 65)
Inequivalent atoms, fractional coordinates:
Tl (0.000, 0.000, 0.000) x2
Sb (0.000, 0.314, 0.500) x4
Pt (0.000, 0.500, 0.000) x2

A relaxed structure of KOs2Br. Source: Alexandria, functional PBE-GGA.

Results
Energy above the most stable polymorph in this dataset in eV per atom: 0.8069
Formation energy without anion corrections in meV/atom: 1253
Size of the total moment in μB/cell: 0.45
Crystal system: orthorhombic

Cell lengths 2.618, 6.002, 6.395 Å; angles 90.00, 90.00, 90.00 degrees
Space group Pmmm (No. 47)
Inequivalent atoms, fractional coordinates:
K (0.000, 0.000, 0.000) x1
Os (0.500, 0.188, 0.500) x2
Br (0.000, 0.500, 0.000) x1

What is the formula in the third record? KOs2Br

Which of these has the highest size of the total moment? KOs2Br